# 1
The following is a DFT calculation (GGA-PBE) of a relaxed GdErNO crystal.

Summary:
The value obtained for the total energy is -7.842 eV/atom. For the mass density, the calculation gives 8.99 g cm⁻³.

a = 8.046 Å, b = 6.631 Å, c = 4.912 Å
α = 90.00°, β = 90.00°, γ = 90.00°
Fractional coordinates of all 16 atoms:
Gd: 0.124 0.068 0.250
Gd: 0.124 0.432 0.750
Gd: 0.876 0.568 0.250
Gd: 0.876 0.932 0.750
Er: 0.376 0.584 0.250
Er: 0.376 0.916 0.750
Er: 0.624 0.084 0.250
Er: 0.624 0.416 0.750
N: 0.380 0.575 0.750
N: 0.380 0.925 0.250
N: 0.620 0.075 0.750
N: 0.620 0.425 0.250
O: 0.140 0.092 0.750
O: 0.140 0.408 0.250
O: 0.860 0.592 0.750
O: 0.860 0.908 0.250

---

# 2
The following is a DFT calculation (GGA-PBE) of a relaxed GaFeCo2 crystal.

Summary:
The value obtained for the total energy is -6.274 eV/atom. For the mass density, the calculation gives 8.00 g cm⁻³.

a = 4.066 Å, b = 4.066 Å, c = 7.055 Å
α = 90.00°, β = 90.00°, γ = 120.00°
Fractional coordinates of all 8 atoms:
Ga: 0.000 0.000 0.250
Ga: 0.000 0.000 0.750
Fe: 0.333 0.667 0.250
Fe: 0.667 0.333 0.750
Co: 0.333 0.667 0.583
Co: 0.333 0.667 0.917
Co: 0.667 0.333 0.083
Co: 0.667 0.333 0.417

---

# 3
The following is a DFT calculation (GGA-PBE) of a relaxed PuNbAl crystal.

Summary:
The value obtained for the total energy is -8.881 eV/atom. For the mass density, the calculation gives 9.30 g cm⁻³.

a = 4.512 Å, b = 4.512 Å, c = 4.512 Å
α = 60.00°, β = 60.00°, γ = 60.00°
Fractional coordinates of all 3 atoms:
Pu: 0.000 0.000 0.000
Nb: 0.750 0.750 0.750
Al: 0.500 0.500 0.500

---

# 4
The following is a DFT calculation (GGA-PBE) of a relaxed TbY2Ga3Ni3 crystal.

Summary:
The value obtained for the total energy is -5.447 eV/atom. For the mass density, the calculation gives 7.45 g cm⁻³.

a = 3.759 Å, b = 7.025 Å, c = 7.025 Å
α = 119.80°, β = 90.00°, γ = 90.00°
Fractional coordinates of all 9 atoms:
Tb: 0.000 0.000 0.000
Y: 0.000 0.413 0.824
Y: 0.000 0.824 0.413
Ga: 0.500 0.167 0.413
Ga: 0.500 0.413 0.167
Ga: 0.500 0.657 0.657
Ni: 0.000 0.411 0.411
Ni: 0.500 0.079 0.748
Ni: 0.500 0.748 0.079

---

# 5
The following is a DFT calculation (GGA-PBE) of a relaxed H3Au2 crystal.

Summary:
The value obtained for the total energy is -3.014 eV/atom. For the mass density, the calculation gives 12.15 g cm⁻³.

a = 8.112 Å, b = 4.926 Å, c = 9.269 Å
α = 60.93°, β = 32.06°, γ = 87.01°
Fractional coordinates of all 10 atoms:
H: 0.000 0.000 0.000
H: 0.037 0.803 0.749
H: 0.250 0.250 0.250
H: 0.501 0.839 0.213
H: 0.803 0.037 0.411
H: 0.839 0.501 0.447
Au: 0.009 0.828 0.392
Au: 0.479 0.858 0.422
Au: 0.828 0.009 0.771
Au: 0.858 0.479 0.241

---

# 6
The following is a DFT calculation (GGA-PBE) of a relaxed NbCdHg2 crystal.

Summary:
The energy of formation from the pure elements comes out at 49 kJ/mol of atoms. For the mass density, the calculation gives 12.02 g cm⁻³.

a = 4.911 Å, b = 4.911 Å, c = 4.911 Å
α = 60.00°, β = 60.00°, γ = 60.00°
Fractional coordinates of all 4 atoms:
Nb: 0.000 0.000 0.000
Cd: 0.250 0.250 0.250
Hg: 0.500 0.500 0.500
Hg: 0.750 0.750 0.750

---

# 7
The following is a DFT calculation (GGA-PBE) of a relaxed Er2Zn15Ag2 crystal.

Summary:
The energy of formation from the pure elements comes out at -21 kJ/mol of atoms. For the mass density, the calculation gives 8.28 g cm⁻³.

a = 6.795 Å, b = 6.795 Å, c = 6.795 Å
α = 82.94°, β = 82.94°, γ = 82.94°
Fractional coordinates of all 19 atoms:
Er: 0.159 0.159 0.159
Er: 0.841 0.841 0.841
Zn: 0.000 0.500 0.500
Zn: 0.146 0.146 0.663
Zn: 0.146 0.663 0.146
Zn: 0.201 0.500 0.799
Zn: 0.201 0.799 0.500
Zn: 0.337 0.854 0.854
Zn: 0.500 0.000 0.500
Zn: 0.500 0.201 0.799
Zn: 0.500 0.500 0.000
Zn: 0.500 0.799 0.201
Zn: 0.663 0.146 0.146
Zn: 0.799 0.201 0.500
Zn: 0.799 0.500 0.201
Zn: 0.854 0.337 0.854
Zn: 0.854 0.854 0.337
Ag: 0.392 0.392 0.392
Ag: 0.608 0.608 0.608

---

# 8
The following is a DFT calculation (GGA-PBE) of a relaxed TbBiSb crystal.

Summary:
The value obtained for the total energy is -4.504 eV/atom. For the mass density, the calculation gives 8.11 g cm⁻³.

a = 5.214 Å, b = 5.214 Å, c = 5.214 Å
α = 60.00°, β = 60.00°, γ = 60.00°
Fractional coordinates of all 3 atoms:
Tb: 0.000 0.000 0.000
Bi: 0.500 0.500 0.500
Sb: 0.750 0.750 0.750

---

> Which of these has the lowest mass density?

TbY2Ga3Ni3